1.
The following is a GGA-PBE calculation of Tb4Pr10Ho after structural relaxation, from Alexandria.

abc: 7.879 9.644 9.644
angles: 80.40 65.89 65.89
Sites, in units of the cell vectors:
Tb (0.399, 0.801, 0.400)
Tb (0.799, 0.600, 0.801)
Tb (0.201, 0.400, 0.199)
Tb (0.601, 0.199, 0.600)
Pr (0.250, 0.500, 0.500)
Pr (0.651, 0.299, 0.899)
Pr (0.049, 0.101, 0.299)
Pr (0.450, 0.899, 0.701)
Pr (0.850, 0.701, 0.101)
Pr (0.349, 0.701, 0.101)
Pr (0.750, 0.500, 0.500)
Pr (0.150, 0.299, 0.899)
Pr (0.550, 0.101, 0.299)
Pr (0.951, 0.899, 0.701)
Ho (0.000, 0.000, 0.000)

* N(E_F): 22.16 states/eV per cell
* energy of formation from the pure elements: 0.680 eV per atom
* size of the total moment: 0.00 μB per cell

=====

2.
The following is a GGA-PBE calculation of Li6Tl2Cu after structural relaxation, from Alexandria.

abc: 4.698 4.698 9.650
angles: 75.91 75.91 60.00
Sites, in units of the cell vectors:
Li (0.410, 0.410, 0.771)
Li (0.195, 0.195, 0.414)
Li (0.304, 0.304, 0.089)
Li (0.805, 0.805, 0.586)
Li (0.590, 0.590, 0.229)
Li (0.696, 0.696, 0.911)
Tl (0.094, 0.094, 0.719)
Tl (0.906, 0.906, 0.281)
Cu (0.000, 0.000, 0.000)

* N(E_F): 5.68 states/eV per cell
* energy above the most stable polymorph in this dataset: 23 meV per atom
* energy of formation from the pure elements: -0.092 eV per atom
* size of the total moment: 0.00 μB per cell

=====

3.
The following is a GGA-PBE calculation of Sr3Li2 after structural relaxation, from Alexandria.

abc: 9.766 9.766 8.635
angles: 90.00 90.00 90.00
Sites, in units of the cell vectors:
Li (0.113, 0.113, 0.319)
Li (0.887, 0.887, 0.319)
Li (0.387, 0.613, 0.819)
Li (0.613, 0.387, 0.819)
Li (0.387, 0.613, 0.181)
Li (0.613, 0.387, 0.181)
Li (0.113, 0.113, 0.681)
Li (0.887, 0.887, 0.681)
Sr (0.000, 0.500, 0.250)
Sr (0.000, 0.500, 0.750)
Sr (0.500, 0.000, 0.250)
Sr (0.500, 0.000, 0.750)
Sr (0.288, 0.288, 0.000)
Sr (0.712, 0.712, 0.000)
Sr (0.212, 0.788, 0.500)
Sr (0.788, 0.212, 0.500)
Sr (0.149, 0.851, 0.000)
Sr (0.851, 0.149, 0.000)
Sr (0.649, 0.649, 0.500)
Sr (0.351, 0.351, 0.500)

* N(E_F): 14.15 states/eV per cell
* energy above the most stable polymorph in this dataset: 0 meV per atom
* energy of formation from the pure elements: -0.001 eV per atom
* size of the total moment: 0.00 μB per cell

=====

4.
The following is a GGA-PBE calculation of Rb2TlInI5 after structural relaxation, from Alexandria.

abc: 5.454 11.129 14.708
angles: 90.00 90.00 104.18
Sites, in units of the cell vectors:
Rb (0.864, 0.729, 0.828)
Rb (0.120, 0.240, 0.686)
Rb (0.136, 0.271, 0.328)
Rb (0.880, 0.760, 0.186)
Tl (0.786, 0.573, 0.532)
Tl (0.214, 0.427, 0.032)
In (0.548, 0.096, 0.944)
In (0.452, 0.904, 0.444)
I (0.367, 0.735, 0.009)
I (0.675, 0.351, 0.866)
I (0.491, 0.982, 0.764)
I (0.292, 0.585, 0.679)
I (0.964, 0.929, 0.516)
I (0.633, 0.265, 0.509)
I (0.325, 0.649, 0.366)
I (0.509, 0.018, 0.264)
I (0.708, 0.415, 0.179)
I (0.036, 0.071, 0.016)

* N(E_F): 2.57 states/eV per cell
* uncorrected formation energy: -0.949 eV per atom
* size of the total moment: 0.00 μB per cell

=====

5.
The following is a GGA-PBE calculation of VHAu2 after structural relaxation, from Alexandria.

abc: 2.797 2.797 8.536
angles: 80.57 80.57 60.00
Sites, in units of the cell vectors:
H (0.500, 0.500, 0.500)
Au (0.104, 0.104, 0.687)
Au (0.896, 0.896, 0.313)
V (0.000, 0.000, 0.000)

* N(E_F): 2.60 states/eV per cell
* energy above the most stable polymorph in this dataset: 210 meV per atom
* size of the total moment: 0.01 μB per cell

=====

6.
The following is a GGA-PBE calculation of Ni2PbAu after structural relaxation, from Alexandria.

abc: 3.338 3.291 6.744
angles: 60.92 90.00 90.00
Sites, in units of the cell vectors:
Au (0.500, 0.750, 0.750)
Ni (0.000, 0.016, 0.985)
Ni (0.000, 0.484, 0.515)
Pb (0.500, 0.250, 0.250)

* N(E_F): 3.36 states/eV per cell
* energy of formation from the pure elements: 0.202 eV per atom
* size of the total moment: 0.00 μB per cell

=====

7.
The following is a GGA-PBE calculation of TlSF6 after structural relaxation, from Alexandria.

abc: 5.257 5.654 5.658
angles: 92.23 113.11 113.01
Sites, in units of the cell vectors:
Tl (0.000, 0.500, 0.500)
S (0.000, 0.000, 0.000)
F (0.316, 0.260, 0.260)
F (0.824, 0.207, 0.905)
F (0.824, 0.906, 0.207)
F (0.176, 0.793, 0.095)
F (0.684, 0.740, 0.740)
F (0.176, 0.094, 0.793)

* N(E_F): 0.09 states/eV per cell
* uncorrected formation energy: -1.595 eV per atom
* size of the total moment: 1.04 μB per cell

=====

8.
The following is a GGA-PBE calculation of Zr2PbSe after structural relaxation, from Alexandria.

abc: 5.102 5.102 3.354
angles: 89.98 89.98 90.01
Sites, in units of the cell vectors:
Pb (0.500, 0.000, 0.500)
Se (0.000, 0.500, 0.500)
Zr (0.000, 0.000, 0.000)
Zr (0.500, 0.500, 0.000)

* N(E_F): 3.01 states/eV per cell
* uncorrected formation energy: -0.456 eV per atom
* energy above the most stable polymorph in this dataset: 168 meV per atom
* size of the total moment: 0.00 μB per cell

=====

9.
The following is a GGA-PBE calculation of Tm2PdPb after structural relaxation, from Alexandria.

abc: 3.551 3.551 7.661
angles: 90.00 90.00 90.00
Sites, in units of the cell vectors:
Pb (0.500, 0.500, 0.500)
Tm (0.000, 0.000, 0.785)
Tm (0.000, 0.000, 0.215)
Pd (0.500, 0.500, 0.000)

* N(E_F): 1.60 states/eV per cell
* energy of formation from the pure elements: -0.670 eV per atom
* size of the total moment: 0.00 μB per cell

=====

10.
The following is a GGA-PBE calculation of KH3F6 after structural relaxation, from Alexandria.

abc: 5.524 5.346 5.346
angles: 108.79 110.14 110.14
Sites, in units of the cell vectors:
K (0.352, 0.000, 0.000)
H (0.951, 0.434, 0.000)
H (0.951, 0.000, 0.434)
H (0.516, 0.566, 0.566)
F (0.158, 0.000, 0.408)
F (0.158, 0.408, 0.000)
F (0.765, 0.000, 0.468)
F (0.765, 0.468, 0.000)
F (0.297, 0.532, 0.532)
F (0.750, 0.592, 0.592)

* N(E_F): 6.44 states/eV per cell
* size of the total moment: 2.00 μB per cell
* E: -3.64 eV per atom

=====

11.
The following is a GGA-PBE calculation of LiTi4Rh5 after structural relaxation, from Alexandria.

abc: 3.126 3.126 14.875
angles: 90.00 90.00 90.00
Sites, in units of the cell vectors:
Li (0.000, 0.000, 0.000)
Ti (0.000, 0.000, 0.188)
Ti (0.000, 0.000, 0.398)
Ti (0.000, 0.000, 0.602)
Ti (0.000, 0.000, 0.812)
Rh (0.500, 0.500, 0.097)
Rh (0.500, 0.500, 0.296)
Rh (0.500, 0.500, 0.500)
Rh (0.500, 0.500, 0.704)
Rh (0.500, 0.500, 0.903)

* N(E_F): 6.91 states/eV per cell
* energy of formation from the pure elements: -0.722 eV per atom
* size of the total moment: 0.00 μB per cell

=====

12.
The following is a GGA-PBE calculation of Mg2InW after structural relaxation, from Alexandria.

abc: 2.898 2.898 9.300
angles: 90.00 90.00 90.00
Sites, in units of the cell vectors:
In (0.500, 0.500, 0.750)
Mg (0.000, 0.000, 0.021)
Mg (0.000, 0.000, 0.479)
W (0.500, 0.500, 0.250)

* N(E_F): 0.87 states/eV per cell
* energy of formation from the pure elements: 0.272 eV per atom
* size of the total moment: 0.00 μB per cell

=====

13.
The following is a GGA-PBE calculation of Ac2Si4Ir3Ru after structural relaxation, from Alexandria.

abc: 4.303 4.303 10.044
angles: 90.00 90.00 90.00
Sites, in units of the cell vectors:
Ac (0.500, 0.000, 0.248)
Ac (0.000, 0.500, 0.752)
Si (0.500, 0.500, 0.000)
Si (0.000, 0.000, 0.000)
Si (0.500, 0.000, 0.620)
Si (0.000, 0.500, 0.380)
Ir (0.000, 0.000, 0.500)
Ir (0.500, 0.000, 0.877)
Ir (0.000, 0.500, 0.123)
Ru (0.500, 0.500, 0.500)

* N(E_F): 5.44 states/eV per cell
* uncorrected formation energy: -0.907 eV per atom
* size of the total moment: 0.00 μB per cell

=====

14.
The following is a GGA-PBE calculation of Hf2TlZnCu after structural relaxation, from Alexandria.

abc: 4.950 4.847 4.950
angles: 90.00 90.00 90.00
Sites, in units of the cell vectors:
Tl (0.000, 0.500, 0.000)
Hf (0.000, 0.000, 0.500)
Hf (0.500, 0.000, 0.000)
Zn (0.000, 0.000, 0.000)
Cu (0.500, 0.500, 0.500)

* N(E_F): 4.66 states/eV per cell
* energy of formation from the pure elements: 0.968 eV per atom
* size of the total moment: 0.00 μB per cell

=====

15.
The following is a GGA-PBE calculation of Mg2AlCr after structural relaxation, from Alexandria.

abc: 3.916 4.213 4.377
angles: 90.00 90.00 90.00
Sites, in units of the cell vectors:
Al (0.500, 0.000, 0.500)
Cr (0.000, 0.500, 0.500)
Mg (0.000, 0.000, 0.000)
Mg (0.500, 0.500, 0.000)

* N(E_F): 2.07 states/eV per cell
* energy of formation from the pure elements: 0.166 eV per atom
* size of the total moment: 3.28 μB per cell

=====

16.
The following is a GGA-PBE calculation of ZrScNiAs2 after structural relaxation, from Alexandria.

abc: 4.713 4.420 4.713
angles: 90.00 90.00 90.00
Sites, in units of the cell vectors:
Sc (0.000, 0.500, 0.000)
Ni (0.000, 0.000, 0.000)
As (0.000, 0.000, 0.500)
As (0.500, 0.000, 0.000)
Zr (0.500, 0.500, 0.500)

* N(E_F): 6.65 states/eV per cell
* energy of formation from the pure elements: 0.002 eV per atom
* size of the total moment: 0.00 μB per cell

=====

17.
The following is a GGA-PBE calculation of Li2CaPd2 after structural relaxation, from Alexandria.

abc: 7.437 7.437 3.051
angles: 90.00 90.00 90.00
Sites, in units of the cell vectors:
Ca (0.000, 0.000, 0.000)
Ca (0.500, 0.500, 0.000)
Pd (0.178, 0.678, 0.500)
Pd (0.678, 0.822, 0.500)
Pd (0.822, 0.322, 0.500)
Pd (0.322, 0.178, 0.500)
Li (0.384, 0.884, 0.000)
Li (0.884, 0.616, 0.000)
Li (0.616, 0.116, 0.000)
Li (0.116, 0.384, 0.000)

* N(E_F): 3.35 states/eV per cell
* energy above the most stable polymorph in this dataset: 0 meV per atom
* energy of formation from the pure elements: -0.450 eV per atom
* size of the total moment: 0.00 μB per cell

=====

18.
The following is a GGA-PBE calculation of AsRh2Se after structural relaxation, from Alexandria.

abc: 4.788 4.788 4.474
angles: 78.75 78.75 39.50
Sites, in units of the cell vectors:
As (0.257, 0.257, 0.164)
Rh (0.989, 0.989, 0.052)
Rh (0.759, 0.759, 0.698)
Se (0.495, 0.495, 0.586)

* N(E_F): 2.35 states/eV per cell
* uncorrected formation energy: -0.172 eV per atom
* energy above the most stable polymorph in this dataset: 202 meV per atom
* size of the total moment: 0.00 μB per cell

=====

19.
The following is a GGA-PBE calculation of SrAlC2 after structural relaxation, from Alexandria.

abc: 4.298 4.298 4.298
angles: 60.00 60.00 60.00
Sites, in units of the cell vectors:
Sr (0.500, 0.500, 0.500)
C (0.250, 0.250, 0.250)
C (0.750, 0.750, 0.750)
Al (0.000, 0.000, 0.000)

* N(E_F): 2.23 states/eV per cell
* energy above the most stable polymorph in this dataset: 816 meV per atom
* energy of formation from the pure elements: 1.476 eV per atom
* size of the total moment: 0.00 μB per cell

=====

20.
The following is a GGA-PBE calculation of B5C7 after structural relaxation, from Alexandria.

abc: 6.747 7.263 7.263
angles: 159.78 140.48 45.16
Sites, in units of the cell vectors:
B (0.009, 0.332, 0.677)
B (0.090, 0.111, 0.980)
B (0.997, 0.976, 0.021)
B (0.647, 0.979, 0.668)
B (0.970, 0.676, 0.295)
C (0.625, 0.288, 0.337)
C (0.481, 0.165, 0.317)
C (0.524, 0.829, 0.694)
C (0.172, 0.797, 0.375)
C (0.597, 0.630, 0.967)
C (0.490, 0.512, 0.978)
C (0.148, 0.457, 0.691)

* N(E_F): 1.71 states/eV per cell
* energy above the most stable polymorph in this dataset: 141 meV per atom
* energy of formation from the pure elements: 0.399 eV per atom
* size of the total moment: 0.00 μB per cell